Record 1
## HgB2Sb (PBE)

Data for crystalline HgB2Sb at its relaxed geometry.

Unit cell a=4.541 b=4.541 c=4.541 alpha=60.00 beta=60.00 gamma=60.00
Element x y z (fractional)
Sb 0.000 0.000 0.000
B 0.250 0.250 0.250
B 0.750 0.750 0.750
Hg 0.500 0.500 0.500

ΔE_f (raw)   1.66 eV/atom
Final energy   -2.788 eV/atom
Offset from the most stable computed form   0.6619 eV per atom
M_tot   0.00 μB per formula unit

***

Record 2
## Hg3BSb (PBE)

Data for crystalline Hg3BSb at its relaxed geometry.

Unit cell a=5.708 b=5.708 c=5.708 alpha=90.00 beta=90.00 gamma=90.00
Element x y z (fractional)
Sb 0.000 0.000 0.000
B 0.500 0.500 0.500
Hg 0.000 0.500 0.000
Hg 0.000 0.000 0.500
Hg 0.500 0.000 0.000

ΔE_f (raw)   1.27 eV/atom
Final energy   -1.074 eV/atom
Offset from the most stable computed form   0.5766 eV per atom
M_tot   0.77 μB per formula unit

***

Record 3
## Hg2BSb (PBE)

Data for crystalline Hg2BSb at its relaxed geometry.

Unit cell a=6.544 b=6.544 c=6.485 alpha=59.70 beta=59.70 gamma=90.00
Element x y z (fractional)
Sb 0.000 0.000 0.000
Sb 0.750 0.250 0.500
B 0.500 0.500 0.000
B 0.250 0.750 0.500
Hg 0.533 0.125 0.250
Hg 0.217 0.625 0.250
Hg 0.375 0.467 0.750
Hg 0.875 0.783 0.750

ΔE_f (raw)   0.81 eV/atom
Final energy   -2.036 eV/atom
Offset from the most stable computed form   0.0000 eV per atom
M_tot   0.00 μB per formula unit

***

Record 4
## Hg2BSb (PBE)

Data for crystalline Hg2BSb at its relaxed geometry.

Unit cell a=5.011 b=5.011 c=5.011 alpha=60.00 beta=60.00 gamma=60.00
Element x y z (fractional)
Sb 0.500 0.500 0.500
B 0.000 0.000 0.000
Hg 0.250 0.250 0.250
Hg 0.750 0.750 0.750

ΔE_f (raw)   1.11 eV/atom
Final energy   -1.741 eV/atom
Offset from the most stable computed form   0.2952 eV per atom
M_tot   0.00 μB per formula unit

***

Record 5
## SnHgB2Sb (PBE)

Data for crystalline SnHgB2Sb at its relaxed geometry.

Unit cell a=4.506 b=6.116 c=4.506 alpha=90.00 beta=90.00 gamma=90.00
Element x y z (fractional)
Sb 0.000 0.000 0.000
B 0.000 0.000 0.500
B 0.500 0.000 0.000
Hg 0.500 0.500 0.500
Sn 0.000 0.500 0.000

ΔE_f (raw)   1.51 eV/atom
Final energy   -2.850 eV/atom
M_tot   0.00 μB per formula unit

***

Record 6
## HgBSb2Te (PBE)

Data for crystalline HgBSb2Te at its relaxed geometry.

Unit cell a=4.966 b=4.966 c=4.889 alpha=90.00 beta=90.00 gamma=90.00
Element x y z (fractional)
Sb 0.000 0.500 0.000
Sb 0.500 0.000 0.000
B 0.000 0.000 0.000
Te 0.000 0.000 0.500
Hg 0.500 0.500 0.500

ΔE_f (raw)   0.68 eV/atom
Final energy   -2.996 eV/atom
Offset from the most stable computed form   0.0000 eV per atom
M_tot   0.00 μB per formula unit

***

Record 7
## HgBSb2Te (PBE)

Data for crystalline HgBSb2Te at its relaxed geometry.

Unit cell a=5.515 b=5.515 c=5.756 alpha=90.00 beta=90.00 gamma=90.00
Element x y z (fractional)
Sb 0.000 0.500 0.000
Sb 0.500 0.000 0.000
B 0.500 0.500 0.500
Te 0.000 0.000 0.500
Hg 0.000 0.000 0.000

ΔE_f (raw)   1.64 eV/atom
Final energy   -2.029 eV/atom
Offset from the most stable computed form   0.9673 eV per atom
M_tot   0.00 μB per formula unit

***

Record 8
## Y2HgBSb (PBE)

Data for crystalline Y2HgBSb at its relaxed geometry.

Unit cell a=5.766 b=4.308 c=5.766 alpha=90.00 beta=90.00 gamma=90.00
Element x y z (fractional)
Y 0.000 0.000 0.500
Y 0.500 0.000 0.000
Sb 0.000 0.000 0.000
B 0.000 0.500 0.000
Hg 0.500 0.500 0.500

ΔE_f (raw)   0.50 eV/atom
Final energy   -4.310 eV/atom
M_tot   0.00 μB per formula unit